Entry 1:
A plane-wave DFT calculation with GGA-PBE was carried out for a geometry-optimized PbO structure.

The calculation puts the formation energy from raw total energies at -177 kJ/mol of formula units. The spin magnetization is 0.00 μB per atom.

a = 4.005 Å, b = 4.005 Å, c = 4.005 Å
α = 60.00°, β = 60.00°, γ = 60.00°
Positions (direct):
1 Pb 0.000 0.000 0.000
2 O 0.250 0.250 0.250

***

Entry 2:
A plane-wave DFT calculation with GGA-PBE was carried out for a geometry-optimized Pb3O4 structure.

The distance to the lowest polymorph of the same formula comes out at 0.035 eV/atom. The calculation puts the formation energy from raw total energies at -685 kJ/mol of formula units. The spin magnetization is 0.00 μB per atom.

a = 7.033 Å, b = 10.143 Å, c = 3.506 Å
α = 90.00°, β = 90.00°, γ = 90.00°
Positions (direct):
1 Pb 0.000 0.000 0.000
2 Pb 0.007 0.307 0.500
3 Pb 0.493 0.807 0.500
4 Pb 0.500 0.500 0.000
5 Pb 0.507 0.193 0.500
6 Pb 0.993 0.693 0.500
7 O 0.152 0.189 0.000
8 O 0.156 0.908 0.500
9 O 0.344 0.408 0.500
10 O 0.348 0.689 0.000
11 O 0.652 0.311 0.000
12 O 0.656 0.592 0.500
13 O 0.844 0.092 0.500
14 O 0.848 0.811 0.000

***

Entry 3:
A plane-wave DFT calculation with GGA-PBE was carried out for a geometry-optimized PbO structure.

The calculation puts the formation energy from raw total energies at -196 kJ/mol of formula units. The spin magnetization is 0.00 μB per atom.

a = 6.651 Å, b = 6.217 Å, c = 5.739 Å
α = 67.47°, β = 59.69°, γ = 52.84°
Positions (direct):
1 Pb 0.111 0.639 0.639
2 Pb 0.361 0.889 0.889
3 Pb 0.639 0.111 0.111
4 Pb 0.889 0.361 0.361
5 O 0.045 0.705 0.045
6 O 0.295 0.955 0.295
7 O 0.705 0.045 0.705
8 O 0.955 0.295 0.955